# MnSbPdO6, optimized geometry, DFT PBE+U
# density of states at the Fermi level: 9.71 states/eV/cell
# calculated total energy: -6.182 eV per atom
data_MnSbPdO6
_chemical_formula_sum 'Mn2 Sb2 Pd2 O12'
_cell_length_a 5.1959
_cell_length_b 5.1959
_cell_length_c 8.9863
_cell_angle_alpha 90.00
_cell_angle_beta 90.00
_cell_angle_gamma 120.00
_space_group_name_H-M_alt 'P -3 1 c'
_space_group_IT_number 163
_space_group_name_Hall '-P 3 2c'
loop_
_atom_site_label
_atom_site_type_symbol
_atom_site_fract_x
_atom_site_fract_y
_atom_site_fract_z
_atom_site_occupancy
Mn1 Mn 0.0000 0.0000 0.0000 1
Sb1 Sb 0.3333 0.6667 0.2500 1
Pd1 Pd 0.3333 0.6667 0.7500 1
O1 O 0.0001 0.3472 0.1285 1